This record from Alexandria describes crystalline BaSr2VF8 at its relaxed geometry. The functional is PBE with a Hubbard U.

Values from the calculation:
- final energy (eV per atom) = -5.852

a b c (Å): 4.330 5.745 8.039
angles (deg): 90.00 90.00 94.78
Fractional coordinates of all 12 atoms:
Sr (0.500, 0.500, 0.768)
F (0.420, 0.229, 0.000)
Ba (0.000, 0.000, 0.500)
F (0.958, 0.243, 0.784)
F (0.958, 0.243, 0.216)
V (0.000, 0.000, 0.000)
F (0.042, 0.757, 0.784)
F (0.485, 0.733, 0.500)
Sr (0.500, 0.500, 0.232)
F (0.515, 0.267, 0.500)
F (0.580, 0.771, 0.000)
F (0.042, 0.757, 0.216)